# CuNi2

Crystalline CuNi2 at its relaxed geometry (PBE, Alexandria via LeMat-Bulk).

Unit cell a=4.840 b=4.840 c=5.987 alpha=104.78 beta=104.78 gamma=29.79
Element x y z (fractional)
Cu  0.027  0.027  0.307
Cu  0.973  0.973  0.693
Ni  0.301  0.301  0.358
Ni  0.359  0.359  0.974
Ni  0.641  0.641  0.026
Ni  0.699  0.699  0.642

Results
DFT total energy = -31.03 eV for the cell shown
SG = C2/m (12)
DFT formation energy = 0.048 eV/atom

***

# Nd2ErTlC

Crystalline Nd2ErTlC at its relaxed geometry (PBE, Alexandria via LeMat-Bulk).

Unit cell a=5.145 b=5.145 c=4.877 alpha=90.00 beta=90.00 gamma=90.00
Element x y z (fractional)
Nd  0.000  0.500  0.000
Nd  0.500  0.000  0.000
Er  0.000  0.000  0.500
Tl  0.500  0.500  0.500
C  0.000  0.000  0.000

Results
DFT total energy = -27.36 eV for the cell shown
SG = P4/mmm (123)
DFT formation energy = -0.335 eV/atom

***

# DyHo2Te5

Crystalline DyHo2Te5 at its relaxed geometry (PBE, Alexandria via LeMat-Bulk).

Unit cell a=9.151 b=9.151 c=9.151 alpha=127.74 beta=127.74 gamma=77.05
Element x y z (fractional)
Dy  0.250  0.250  0.000
Dy  0.750  0.750  0.000
Ho  0.150  0.650  0.801
Ho  0.350  0.150  0.500
Ho  0.650  0.850  0.500
Ho  0.850  0.350  0.199
Te  0.000  0.000  0.000
Te  0.011  0.191  0.500
Te  0.191  0.691  0.179
Te  0.309  0.489  0.500
Te  0.489  0.989  0.179
Te  0.500  0.500  0.000
Te  0.511  0.011  0.821
Te  0.691  0.511  0.500
Te  0.809  0.309  0.821
Te  0.989  0.809  0.500

Results
DFT total energy = -77.03 eV for the cell shown
SG = I4/mcm (140)

***

# Rb2UTc3O12

Crystalline Rb2UTc3O12 at its relaxed geometry (PBE, Alexandria via LeMat-Bulk).

Unit cell a=7.552 b=7.552 c=7.552 alpha=57.76 beta=57.76 gamma=57.76
Element x y z (fractional)
Rb  0.124  0.124  0.124
Rb  0.876  0.876  0.876
U  0.500  0.500  0.500
Tc  0.000  0.500  0.500
Tc  0.500  0.000  0.500
Tc  0.500  0.500  0.000
O  0.164  0.574  0.574
O  0.198  0.198  0.568
O  0.198  0.568  0.198
O  0.426  0.426  0.836
O  0.426  0.836  0.426
O  0.432  0.802  0.802
O  0.568  0.198  0.198
O  0.574  0.164  0.574
O  0.574  0.574  0.164
O  0.802  0.432  0.802
O  0.802  0.802  0.432
O  0.836  0.426  0.426

Results
DFT total energy = -137.53 eV for the cell shown
SG = R-3m (166)

***

# GdDyTcRh

Crystalline GdDyTcRh at its relaxed geometry (PBE, Alexandria via LeMat-Bulk).

Unit cell a=4.856 b=4.856 c=4.856 alpha=60.00 beta=60.00 gamma=60.00
Element x y z (fractional)
Gd  0.000  0.000  0.000
Dy  0.500  0.500  0.500
Tc  0.750  0.750  0.750
Rh  0.250  0.250  0.250

Results
DFT total energy = -37.57 eV for the cell shown
SG = F-43m (216)
DFT formation energy = -0.293 eV/atom

***

# Ca2ZnInAu6

Crystalline Ca2ZnInAu6 at its relaxed geometry (PBE, Alexandria via LeMat-Bulk).

Unit cell a=7.137 b=7.137 c=7.137 alpha=60.00 beta=60.00 gamma=60.00
Element x y z (fractional)
Ca  0.250  0.250  0.250
Ca  0.750  0.750  0.750
Zn  0.000  0.000  0.000
In  0.500  0.500  0.500
Au  0.241  0.241  0.759
Au  0.241  0.759  0.241
Au  0.241  0.759  0.759
Au  0.759  0.241  0.241
Au  0.759  0.241  0.759
Au  0.759  0.759  0.241

Results
DFT total energy = -29.47 eV for the cell shown
SG = Fm-3m (225)
DFT formation energy = -0.179 eV/atom

***

| no. | density of states at the Fermi level (states/eV per atom) | magnetic moment (μB/f.u.) |
| --- | --- | --- |
| 1 | 1.635 | 0.840 |
| 2 | 0.447 | 0.000 |
| 3 | 0.696 | 0.000 |
| 4 | 0.393 | 1.795 |
| 5 | 1.304 | 6.998 |
| 6 | 0.391 | 0.000 |